# 1
First-principles (meta-GGA SCAN) data for a crystal of Li3CoCu4O8 relaxed with PBEsol, as listed in Alexandria.

Values from the calculation:
E_form (uncorrected)   -1286.7 meV per atom
ρ   5.4 g/cm3
E_tot   -9.732 eV/atom

Cell lengths 5.948, 5.948, 5.469 Å; angles 114.37, 114.37, 56.23 degrees
Fractional coordinates of all 16 atoms:
Li 0.000 0.000 0.000
Li 0.000 0.500 0.500
Li 0.500 0.000 0.500
Co 0.500 0.500 0.500
Cu 0.000 0.000 0.500
Cu 0.000 0.500 0.000
Cu 0.500 0.000 0.000
Cu 0.500 0.500 0.000
O 0.203 0.203 0.741
O 0.240 0.700 0.724
O 0.300 0.760 0.276
O 0.301 0.301 0.267
O 0.699 0.699 0.733
O 0.700 0.240 0.724
O 0.760 0.300 0.276
O 0.797 0.797 0.259

# 2
First-principles (meta-GGA SCAN) data for a crystal of Zr2CuAu relaxed with PBEsol, as listed in Alexandria.

Values from the calculation:
Formation enthalpy at 0 K   -0.407 eV/atom
ρ   10.3 g/cm3
E_tot   -36.846 eV/atom

Cell lengths 3.113, 3.874, 5.915 Å; angles 90.00, 90.00, 90.00 degrees
Fractional coordinates of all 4 atoms:
Zr 0.000 0.000 0.241
Zr 0.000 0.000 0.759
Cu 0.500 0.500 0.000
Au 0.500 0.500 0.500

# 3
First-principles (meta-GGA SCAN) data for a crystal of In2AgSe relaxed with PBEsol, as listed in Alexandria.

Values from the calculation:
E_form (uncorrected)   -181.0 meV per atom
ρ   7.6 g/cm3
E_tot   -29.736 eV/atom

Cell lengths 7.697, 7.697, 7.697 Å; angles 28.38, 28.38, 28.38 degrees
Fractional coordinates of all 4 atoms:
In 0.250 0.250 0.250
In 0.750 0.750 0.750
Ag 0.000 0.000 0.000
Se 0.500 0.500 0.500

# 4
First-principles (meta-GGA SCAN) data for a crystal of KTcAg2 relaxed with PBEsol, as listed in Alexandria.

Values from the calculation:
Formation enthalpy at 0 K   0.702 eV/atom
ρ   7.9 g/cm3
E above lowest polymorph   22 meV/atom
E_tot   -25.829 eV/atom

Cell lengths 2.723, 2.723, 9.972 Å; angles 90.00, 90.00, 90.00 degrees
Fractional coordinates of all 4 atoms:
K 0.000 0.000 0.000
Tc 0.500 0.500 0.278
Ag 0.000 0.000 0.491
Ag 0.500 0.500 0.709